DFT (PBE) results for an optimized crystal structure of CsGaIBr.

Cell and atoms, written as CIF:
```
data_CsGaIBr
_space_group_name_H-M_alt 'P 1'
_space_group_IT_number 1
_cell_length_a 6.0428
_cell_length_b 6.0428
_cell_length_c 6.0428
_cell_angle_alpha 60.00
_cell_angle_beta 60.00
_cell_angle_gamma 60.00
loop_
_space_group_symop_operation_xyz
'x,y,z'
loop_
_atom_site_label
_atom_site_type_symbol
_atom_site_fract_x
_atom_site_fract_y
_atom_site_fract_z
Cs1 Cs 0.0000 0.0000 0.0000
Ga1 Ga 0.5000 0.5000 0.5000
I1 I 0.7500 0.7500 0.7500
Br1 Br 0.2500 0.2500 0.2500
```

## Properties
The value obtained for the volume is 39.0 A^3/atom. The crystal system is cubic. The calculation puts the energy relative to the elements, uncorrected at -916.9 meV/atom. The raw total energy comes out at -2.693 eV/atom. As for the space group: F-43m (216).